# 1
Compound: GaH3I
Source: Alexandria
Functional: PBE
Structure: optimized geometry

Summary:
Total moment ... 0.00 μB/f.u.
Fermi-level density of states ... 2.69 states/eV/f.u.
Offset from the most stable computed form ... 0.276 eV per atom
Electronic total energy ... -26.09 eV per cell

Lattice parameters (Å, degrees): 6.8886 6.8886 6.8886 54.03 54.03 54.03
Positions (direct):
1 Ga 0.1032 0.1032 0.1032
2 Ga 0.8968 0.8968 0.8968
3 H 0.2291 0.2254 0.7978
4 H 0.2254 0.7978 0.2291
5 H 0.2022 0.7709 0.7746
6 H 0.7746 0.2022 0.7709
7 H 0.7709 0.7746 0.2022
8 H 0.7978 0.2291 0.2254
9 I 0.2529 0.2529 0.2529
10 I 0.7471 0.7471 0.7471


# 2
Compound: GaHI2
Source: Alexandria
Functional: PBE
Structure: optimized geometry

Summary:
Total moment ... 0.09 μB/f.u.
Fermi-level density of states ... 2.28 states/eV/f.u.
Offset from the most stable computed form ... 0.779 eV per atom
Electronic total energy ... -7.47 eV per cell

Lattice parameters (Å, degrees): 5.3141 5.3141 5.3141 60.00 60.00 60.00
Site moments in Bohr magnetons follow the coordinates.
Positions (direct):
1 I 0.2500 0.2500 0.2500  -0.16
2 I 0.7500 0.7500 0.7500  -0.16
3 H 0.0000 0.0000 0.0000  0.28
4 Ga 0.5000 0.5000 0.5000  -0.09


# 3
Compound: La4GaHI2
Source: Alexandria
Functional: PBE
Structure: optimized geometry

Summary:
Total moment ... 0.00 μB/f.u.
Fermi-level density of states ... 5.84 states/eV/f.u.
Electronic total energy ... -34.87 eV per cell

Lattice parameters (Å, degrees): 4.2978 7.1489 8.3267 107.25 90.00 90.00
Positions (direct):
1 La 0.5000 0.2603 0.1937
2 La 0.5000 0.7397 0.8063
3 La 0.0000 0.2744 0.7969
4 La 0.0000 0.7256 0.2031
5 Ga 0.0000 0.0000 0.0000
6 H 0.5000 0.5000 0.0000
7 I 0.5000 0.0000 0.5000
8 I 0.0000 0.5000 0.5000


# 4
Compound: GaHIN2
Source: Alexandria
Functional: PBE
Structure: optimized geometry

Summary:
Total moment ... 5.24 μB/f.u.
Fermi-level density of states ... 1.39 states/eV/f.u.
Offset from the most stable computed form ... 0.559 eV per atom
Electronic total energy ... -14.16 eV per cell

Lattice parameters (Å, degrees): 4.9069 4.9069 3.8592 90.00 90.00 90.00
Site moments in Bohr magnetons follow the coordinates.
Positions (direct):
1 I 0.0000 0.0000 0.5000  0.31
2 H 0.0000 0.0000 0.0000  0.02
3 Ga 0.5000 0.5000 0.5000  0.04
4 N 0.0000 0.5000 0.0000  1.61
5 N 0.5000 0.0000 0.0000  1.61


# 5
Compound: GaHI2N
Source: Alexandria
Functional: PBE
Structure: optimized geometry

Summary:
Total moment ... 1.70 μB/f.u.
Fermi-level density of states ... 3.33 states/eV/f.u.
Offset from the most stable computed form ... 0.017 eV per atom
Electronic total energy ... -13.52 eV per cell

Lattice parameters (Å, degrees): 6.6392 6.6392 3.3811 90.00 90.00 90.00
Site moments in Bohr magnetons follow the coordinates.
Positions (direct):
1 I 0.0000 0.5000 0.0000  0.09
2 I 0.5000 0.0000 0.0000  0.09
3 H 0.5000 0.5000 0.5000  0.38
4 Ga 0.0000 0.0000 0.0000  0.00
5 N 0.0000 0.0000 0.5000  0.36


# 6
Compound: GaHIN2
Source: Alexandria
Functional: PBE
Structure: optimized geometry

Summary:
Total moment ... 2.24 μB/f.u.
Fermi-level density of states ... 2.20 states/eV/f.u.
Offset from the most stable computed form ... 0.000 eV per atom
Electronic total energy ... -16.96 eV per cell

Lattice parameters (Å, degrees): 3.7301 3.7301 7.7256 90.00 90.00 90.00
Site moments in Bohr magnetons follow the coordinates.
Positions (direct):
1 I 0.0000 0.0000 0.5000  0.00
2 H 0.5000 0.5000 0.5000  -0.01
3 Ga 0.0000 0.0000 0.0000  -0.01
4 N 0.0000 0.5000 0.0000  0.80
5 N 0.5000 0.0000 0.0000  0.80


# 7
Compound: GaHI2N
Source: Alexandria
Functional: PBE
Structure: optimized geometry

Summary:
Total moment ... 1.96 μB/f.u.
Fermi-level density of states ... 1.30 states/eV/f.u.
Offset from the most stable computed form ... 0.000 eV per atom
Electronic total energy ... -13.60 eV per cell

Lattice parameters (Å, degrees): 6.4338 6.4338 2.9600 90.00 90.00 90.00
Site moments in Bohr magnetons follow the coordinates.
Positions (direct):
1 I 0.0000 0.5000 0.0000  0.05
2 I 0.5000 0.0000 0.0000  0.05
3 H 0.0000 0.0000 0.0000  -0.03
4 Ga 0.5000 0.5000 0.5000  -0.01
5 N 0.0000 0.0000 0.5000  1.22


# 8
Compound: NbGaHI2
Source: Alexandria
Functional: PBE
Structure: optimized geometry

Summary:
Total moment ... 0.98 μB/f.u.
Fermi-level density of states ... 2.70 states/eV/f.u.
Electronic total energy ... -16.73 eV per cell

Lattice parameters (Å, degrees): 5.5351 5.2962 5.5351 90.00 90.00 90.00
Site moments in Bohr magnetons follow the coordinates.
Positions (direct):
1 I 0.0000 0.0000 0.5000  0.01
2 I 0.5000 0.0000 0.0000  0.01
3 H 0.5000 0.5000 0.5000  0.37
4 Nb 0.0000 0.0000 0.0000  0.00
5 Ga 0.0000 0.5000 0.0000  0.00


# 9
Compound: GaHIO2
Source: Alexandria
Functional: PBE
Structure: optimized geometry

Summary:
Total moment ... 0.00 μB/f.u.
Fermi-level density of states ... 3.50 states/eV/f.u.
Offset from the most stable computed form ... 0.784 eV per atom
Electronic total energy ... -14.33 eV per cell

Lattice parameters (Å, degrees): 4.3225 4.3225 3.4692 90.00 90.00 90.00
Positions (direct):
1 I 0.0000 0.0000 0.5000
2 H 0.0000 0.0000 0.0000
3 O 0.0000 0.5000 0.0000
4 O 0.5000 0.0000 0.0000
5 Ga 0.5000 0.5000 0.5000


# 10
Compound: GaHIO2
Source: Alexandria
Functional: PBE
Structure: optimized geometry

Summary:
Total moment ... 1.02 μB/f.u.
Fermi-level density of states ... 1.96 states/eV/f.u.
Offset from the most stable computed form ... 0.000 eV per atom
Electronic total energy ... -18.25 eV per cell

Lattice parameters (Å, degrees): 3.6539 3.6539 7.1575 90.00 90.00 90.00
Site moments in Bohr magnetons follow the coordinates.
Positions (direct):
1 I 0.0000 0.0000 0.5000  0.00
2 H 0.5000 0.5000 0.5000  0.00
3 O 0.0000 0.5000 0.0000  0.45
4 O 0.5000 0.0000 0.0000  0.45
5 Ga 0.0000 0.0000 0.0000  -0.02


# 11
Compound: Ga2HPdI
Source: Alexandria
Functional: PBE
Structure: optimized geometry

Summary:
Total moment ... 0.00 μB/f.u.
Fermi-level density of states ... 1.52 states/eV/f.u.
Offset from the most stable computed form ... 0.000 eV per atom
Electronic total energy ... -14.97 eV per cell

Lattice parameters (Å, degrees): 4.0640 5.6595 4.0640 90.00 90.00 90.00
Positions (direct):
1 I 0.0000 0.5000 0.0000
2 H 0.0000 0.0000 0.0000
3 Ga 0.0000 0.0000 0.5000
4 Ga 0.5000 0.0000 0.0000
5 Pd 0.5000 0.5000 0.5000


# 12
Compound: Ga2HPdI
Source: Alexandria
Functional: PBE
Structure: optimized geometry

Summary:
Total moment ... 0.76 μB/f.u.
Fermi-level density of states ... 1.93 states/eV/f.u.
Offset from the most stable computed form ... 0.103 eV per atom
Electronic total energy ... -14.46 eV per cell

Lattice parameters (Å, degrees): 4.8829 5.6984 4.8829 90.00 90.00 90.00
Site moments in Bohr magnetons follow the coordinates.
Positions (direct):
1 I 0.0000 0.5000 0.0000  0.08
2 H 0.5000 0.5000 0.5000  0.31
3 Ga 0.0000 0.0000 0.5000  -0.02
4 Ga 0.5000 0.0000 0.0000  -0.01
5 Pd 0.0000 0.0000 0.0000  -0.01